Entry 1:
# NiAsOsPd (PBE, optimized geometry)
data_NiAsOsPd
_cell_length_a 6.164
_cell_length_b 6.164
_cell_length_c 6.164
_cell_angle_alpha 90.00
_cell_angle_beta 90.00
_cell_angle_gamma 90.00
_space_group_name_H-M_alt 'F -4 3 m'
_space_group_IT_number 216
_space_group_name_Hall 'F -4 2 3'
loop_
_atom_site_label
_atom_site_type_symbol
_atom_site_fract_x
_atom_site_fract_y
_atom_site_fract_z
_atom_site_occupancy
Ni1 Ni 0.000 0.000 0.000 1
As1 As 0.250 0.250 0.750 1
Os1 Os 0.250 0.250 0.250 1
Pd1 Pd 0.000 0.000 0.500 1
# Calculated density, g/cm³: 12.20
# Total magnetic moment, μB per atom: 0.186
# Total DFT energy (no corrections), eV per atom: -6.129

---

Entry 2:
# NiAsOsPt (PBE, optimized geometry)
data_NiAsOsPt
_cell_length_a 6.181
_cell_length_b 6.181
_cell_length_c 6.181
_cell_angle_alpha 90.00
_cell_angle_beta 90.00
_cell_angle_gamma 90.00
_space_group_name_H-M_alt 'F -4 3 m'
_space_group_IT_number 216
_space_group_name_Hall 'F -4 2 3'
loop_
_atom_site_label
_atom_site_type_symbol
_atom_site_fract_x
_atom_site_fract_y
_atom_site_fract_z
_atom_site_occupancy
Ni1 Ni 0.000 0.000 0.000 1
As1 As 0.250 0.250 0.750 1
Os1 Os 0.250 0.250 0.250 1
Pt1 Pt 0.000 0.000 0.500 1
# Calculated density, g/cm³: 14.60
# Total magnetic moment, μB per atom: 0.225
# Total DFT energy (no corrections), eV per atom: -6.354

---

Entry 3:
# ScNiAsOs (PBE, optimized geometry)
data_ScNiAsOs
_cell_length_a 6.296
_cell_length_b 6.296
_cell_length_c 6.296
_cell_angle_alpha 90.00
_cell_angle_beta 90.00
_cell_angle_gamma 90.00
_space_group_name_H-M_alt 'F -4 3 m'
_space_group_IT_number 216
_space_group_name_Hall 'F -4 2 3'
loop_
_atom_site_label
_atom_site_type_symbol
_atom_site_fract_x
_atom_site_fract_y
_atom_site_fract_z
_atom_site_occupancy
Sc1 Sc 0.000 0.000 0.000 1
Ni1 Ni 0.000 0.000 0.500 1
As1 As 0.250 0.250 0.250 1
Os1 Os 0.250 0.250 0.750 1
# Calculated density, g/cm³: 9.81
# Total magnetic moment, μB per atom: 0.286
# Total DFT energy (no corrections), eV per atom: -6.791

---

Entry 4:
# TcNiAsOs (PBE, optimized geometry)
data_TcNiAsOs
_cell_length_a 6.088
_cell_length_b 6.088
_cell_length_c 6.088
_cell_angle_alpha 90.00
_cell_angle_beta 90.00
_cell_angle_gamma 90.00
_space_group_name_H-M_alt 'F -4 3 m'
_space_group_IT_number 216
_space_group_name_Hall 'F -4 2 3'
loop_
_atom_site_label
_atom_site_type_symbol
_atom_site_fract_x
_atom_site_fract_y
_atom_site_fract_z
_atom_site_occupancy
Tc1 Tc 0.000 0.000 0.000 1
Ni1 Ni 0.000 0.000 0.500 1
As1 As 0.250 0.250 0.250 1
Os1 Os 0.250 0.250 0.750 1
# Calculated density, g/cm³: 12.42
# Total magnetic moment, μB per atom: 0.003
# Total DFT energy (no corrections), eV per atom: -7.594

---

Entry 5:
# NiAsP (PBE, optimized geometry)
data_NiAsP
_cell_length_a 5.611
_cell_length_b 5.611
_cell_length_c 5.611
_cell_angle_alpha 90.00
_cell_angle_beta 90.00
_cell_angle_gamma 90.00
_space_group_name_H-M_alt 'P 21 3'
_space_group_IT_number 198
_space_group_name_Hall 'P 2ac 2ab 3'
loop_
_atom_site_label
_atom_site_type_symbol
_atom_site_fract_x
_atom_site_fract_y
_atom_site_fract_z
_atom_site_occupancy
Ni1 Ni 0.010 0.010 0.010 1
As1 As 0.119 0.619 0.881 1
P1 P 0.121 0.879 0.379 1
# Calculated density, g/cm³: 6.19
# Total magnetic moment, μB per atom: 0.000
# Total DFT energy (no corrections), eV per atom: -5.495

---

Entry 6:
# Pr2Ni2SbAsP2 (PBE, optimized geometry)
data_Pr2Ni2SbAsP2
_cell_length_a 4.010
_cell_length_b 4.010
_cell_length_c 9.960
_cell_angle_alpha 90.00
_cell_angle_beta 90.00
_cell_angle_gamma 90.00
_space_group_name_H-M_alt 'P -4 m 2'
_space_group_IT_number 115
loop_
_space_group_symop_operation_xyz
'x,y,z'
'y,-x,-z'
'-x,-y,z'
'-y,x,-z'
'-x,y,z'
'-y,-x,-z'
'x,-y,z'
'y,x,-z'
loop_
_atom_site_label
_atom_site_type_symbol
_atom_site_fract_x
_atom_site_fract_y
_atom_site_fract_z
_atom_site_occupancy
Pr1 Pr 0.000 0.500 0.240 1
Ni1 Ni 0.000 0.000 0.000 1
Ni2 Ni 0.500 0.500 0.000 1
Sb1 Sb 0.500 0.500 0.500 1
As1 As 0.000 0.000 0.500 1
P1 P 0.000 0.500 0.885 1
# Calculated density, g/cm³: 6.82
# Total magnetic moment, μB per atom: 0.002
# Total DFT energy (no corrections), eV per atom: -5.960